Record 1
# PBE-GGA InAg3S, relaxed
# Crystal system: cubic
# ΔE to the lowest computed polymorph (eV/atom): 0.000
data_InAg3S
_chemical_formula_sum 'In1 Ag3 S1'
_cell_length_a 4.943
_cell_length_b 4.943
_cell_length_c 4.943
_cell_angle_alpha 90.00
_cell_angle_beta 90.00
_cell_angle_gamma 90.00
_space_group_name_H-M_alt 'P m -3 m'
_space_group_IT_number 221
_space_group_name_Hall '-P 4 2 3'
loop_
_atom_site_label
_atom_site_type_symbol
_atom_site_fract_x
_atom_site_fract_y
_atom_site_fract_z
In1 In 0.000 0.000 0.000
Ag1 Ag 0.000 0.500 0.500
S1 S 0.500 0.500 0.500


Record 2
# PBE-GGA InAgS4, relaxed
# Crystal system: monoclinic
data_InAgS4
_chemical_formula_sum 'In4 Ag4 S16'
_cell_length_a 8.477
_cell_length_b 10.292
_cell_length_c 7.393
_cell_angle_alpha 90.00
_cell_angle_beta 122.16
_cell_angle_gamma 90.00
_space_group_name_H-M_alt 'C 1 2/c 1'
_space_group_IT_number 15
loop_
_space_group_symop_operation_xyz
'x,y,z'
'-x,-y,-z'
'-x,y,-z+1/2'
'x,-y,z+1/2'
'x+1/2,y+1/2,z'
'-x+1/2,-y+1/2,-z'
'-x+1/2,y+1/2,-z+1/2'
'x+1/2,-y+1/2,z+1/2'
loop_
_atom_site_label
_atom_site_type_symbol
_atom_site_fract_x
_atom_site_fract_y
_atom_site_fract_z
In1 In 0.000 0.133 0.250
Ag1 Ag 0.000 0.345 0.750
S1 S 0.205 0.294 0.189
S2 S 0.242 0.044 0.619


Record 3
# PBE-GGA In2Ag2S, relaxed
# Crystal system: tetragonal
# ΔE to the lowest computed polymorph (eV/atom): 0.000
data_In2Ag2S
_chemical_formula_sum 'In4 Ag4 S2'
_cell_length_a 7.116
_cell_length_b 7.116
_cell_length_c 4.403
_cell_angle_alpha 90.00
_cell_angle_beta 90.00
_cell_angle_gamma 90.00
_space_group_name_H-M_alt 'P 4/m b m'
_space_group_IT_number 127
_space_group_name_Hall '-P 4 2ab'
loop_
_atom_site_label
_atom_site_type_symbol
_atom_site_fract_x
_atom_site_fract_y
_atom_site_fract_z
In1 In 0.165 0.335 0.000
Ag1 Ag 0.140 0.640 0.500
S1 S 0.000 0.000 0.500


Record 4
# PBE-GGA InAgS3, relaxed
# Crystal system: trigonal
# ΔE to the lowest computed polymorph (eV/atom): 0.000
data_InAgS3
_chemical_formula_sum 'In6 Ag6 S18'
_cell_length_a 6.5925
_cell_length_b 6.5925
_cell_length_c 17.3896
_cell_angle_alpha 90.00
_cell_angle_beta 90.00
_cell_angle_gamma 120.00
_space_group_name_H-M_alt 'R -3'
_space_group_IT_number 148
_space_group_name_Hall '-R 3'
loop_
_atom_site_label
_atom_site_type_symbol
_atom_site_fract_x
_atom_site_fract_y
_atom_site_fract_z
In1 In 0.0000 0.0000 0.1390
Ag1 Ag 0.0000 0.0000 0.3483
S1 S 0.0152 0.3054 0.2491


Record 5
# PBE-GGA In2AgS4, relaxed
# Crystal system: orthorhombic
data_In2AgS4
_chemical_formula_sum 'In8 Ag4 S16'
_cell_length_a 7.418
_cell_length_b 7.626
_cell_length_c 11.551
_cell_angle_alpha 90.00
_cell_angle_beta 90.00
_cell_angle_gamma 90.00
_space_group_name_H-M_alt 'I m m a'
_space_group_IT_number 74
_space_group_name_Hall '-I 2b 2'
loop_
_atom_site_label
_atom_site_type_symbol
_atom_site_fract_x
_atom_site_fract_y
_atom_site_fract_z
In1 In 0.000 0.000 0.000
In2 In 0.000 0.250 0.356
Ag1 Ag 0.250 0.250 0.750
S1 S 0.000 0.026 0.766
S2 S 0.243 0.250 0.000


Record 6
# PBE-GGA InAg3S, relaxed
# Crystal system: cubic
# ΔE to the lowest computed polymorph (eV/atom): 0.627
data_InAg3S
_chemical_formula_sum 'In1 Ag3 S1'
_cell_length_a 5.182
_cell_length_b 5.182
_cell_length_c 5.182
_cell_angle_alpha 90.00
_cell_angle_beta 90.00
_cell_angle_gamma 90.00
_space_group_name_H-M_alt 'P m -3 m'
_space_group_IT_number 221
_space_group_name_Hall '-P 4 2 3'
loop_
_atom_site_label
_atom_site_type_symbol
_atom_site_fract_x
_atom_site_fract_y
_atom_site_fract_z
In1 In 0.000 0.000 0.000
Ag1 Ag 0.000 0.000 0.500
S1 S 0.500 0.500 0.500


Record 7
# PBE-GGA InAgSbS4, relaxed
# Crystal system: orthorhombic
data_InAgSbS4
_chemical_formula_sum 'In4 Ag4 Sb4 S16'
_cell_length_a 7.677
_cell_length_b 7.761
_cell_length_c 11.165
_cell_angle_alpha 90.00
_cell_angle_beta 90.00
_cell_angle_gamma 90.00
_space_group_name_H-M_alt 'I m m a'
_space_group_IT_number 74
_space_group_name_Hall '-I 2b 2'
loop_
_atom_site_label
_atom_site_type_symbol
_atom_site_fract_x
_atom_site_fract_y
_atom_site_fract_z
In1 In 0.000 0.000 0.000
Ag1 Ag 0.000 0.250 0.381
Sb1 Sb 0.250 0.250 0.750
S1 S 0.000 0.008 0.758
S2 S 0.233 0.250 0.988


Record 8
# PBE-GGA InSi2AgS6, relaxed
# Crystal system: monoclinic
data_InSi2AgS6
_chemical_formula_sum 'In4 Si8 Ag4 S24'
_cell_length_a 12.555
_cell_length_b 12.499
_cell_length_c 6.426
_cell_angle_alpha 90.00
_cell_angle_beta 110.71
_cell_angle_gamma 90.00
_space_group_name_H-M_alt 'C 1 2/c 1'
_space_group_IT_number 15
loop_
_space_group_symop_operation_xyz
'x,y,z'
'-x,-y,-z'
'-x,y,-z+1/2'
'x,-y,z+1/2'
'x+1/2,y+1/2,z'
'-x+1/2,-y+1/2,-z'
'-x+1/2,y+1/2,-z+1/2'
'x+1/2,-y+1/2,z+1/2'
loop_
_atom_site_label
_atom_site_type_symbol
_atom_site_fract_x
_atom_site_fract_y
_atom_site_fract_z
In1 In 0.000 0.238 0.250
Si1 Si 0.205 0.423 0.730
Ag1 Ag 0.000 0.107 0.750
S1 S 0.114 0.080 0.158
S2 S 0.136 0.267 0.628
S3 S 0.137 0.448 0.996


Record 9
# PBE-GGA SmInAg2S4, relaxed
# Crystal system: monoclinic
data_SmInAg2S4
_chemical_formula_sum 'Sm4 In4 Ag8 S16'
_cell_length_a 11.316
_cell_length_b 10.872
_cell_length_c 7.699
_cell_angle_alpha 90.00
_cell_angle_beta 132.71
_cell_angle_gamma 90.00
_space_group_name_H-M_alt 'C 1 2/c 1'
_space_group_IT_number 15
loop_
_space_group_symop_operation_xyz
'x,y,z'
'-x,-y,-z'
'-x,y,-z+1/2'
'x,-y,z+1/2'
'x+1/2,y+1/2,z'
'-x+1/2,-y+1/2,-z'
'-x+1/2,y+1/2,-z+1/2'
'x+1/2,-y+1/2,z+1/2'
loop_
_atom_site_label
_atom_site_type_symbol
_atom_site_fract_x
_atom_site_fract_y
_atom_site_fract_z
Sm1 Sm 0.250 0.250 0.000
In1 In 0.000 0.000 0.000
Ag1 Ag 0.000 0.500 0.000
Ag2 Ag 0.250 0.250 0.500
S1 S 0.001 0.261 0.505
S2 S 0.217 0.007 0.466


Record 10
# PBE-GGA Sm2InAgS5, relaxed
# Crystal system: orthorhombic
data_Sm2InAgS5
_chemical_formula_sum 'Sm8 In4 Ag4 S20'
_cell_length_a 3.976
_cell_length_b 17.299
_cell_length_c 11.352
_cell_angle_alpha 90.00
_cell_angle_beta 90.00
_cell_angle_gamma 90.00
_space_group_name_H-M_alt 'C m c 21'
_space_group_IT_number 36
loop_
_space_group_symop_operation_xyz
'x,y,z'
'-x,-y,z+1/2'
'-x,y,z'
'x,-y,z+1/2'
'x+1/2,y+1/2,z'
'-x+1/2,-y+1/2,z+1/2'
'-x+1/2,y+1/2,z'
'x+1/2,-y+1/2,z+1/2'
loop_
_atom_site_label
_atom_site_type_symbol
_atom_site_fract_x
_atom_site_fract_y
_atom_site_fract_z
Sm1 Sm 0.000 0.119 0.000
Sm2 Sm 0.000 0.123 0.378
In1 In 0.000 0.413 0.178
Ag1 Ag 0.000 0.228 0.704
S1 S 0.000 0.033 0.780
S2 S 0.000 0.301 0.030
S3 S 0.000 0.304 0.362
S4 S 0.000 0.371 0.693
S5 S 0.000 0.488 0.984


Record 11
# PBE-GGA InAg3Sn3S8, relaxed
# Crystal system: trigonal
data_InAg3Sn3S8
_chemical_formula_sum 'In3 Ag9 Sn9 S24'
_cell_length_a 7.6439
_cell_length_b 7.6439
_cell_length_c 19.1691
_cell_angle_alpha 90.00
_cell_angle_beta 90.00
_cell_angle_gamma 120.00
_space_group_name_H-M_alt 'R -3 m'
_space_group_IT_number 166
_space_group_name_Hall '-R 3 2"'
loop_
_atom_site_label
_atom_site_type_symbol
_atom_site_fract_x
_atom_site_fract_y
_atom_site_fract_z
In1 In 0.0000 0.0000 0.0000
Ag1 Ag 0.0000 0.5000 0.5000
Sn1 Sn 0.0000 0.5000 0.0000
S1 S 0.0000 0.0000 0.2512
S2 S 0.0061 0.5031 0.7464


Record 12
# PBE-GGA In2Ag2SnS6, relaxed
# Crystal system: monoclinic
data_In2Ag2SnS6
_chemical_formula_sum 'In4 Ag4 Sn2 S12'
_cell_length_a 6.625
_cell_length_b 11.308
_cell_length_c 6.818
_cell_angle_alpha 90.00
_cell_angle_beta 101.28
_cell_angle_gamma 90.00
_space_group_name_H-M_alt 'C 1 2/m 1'
_space_group_IT_number 12
loop_
_space_group_symop_operation_xyz
'x,y,z'
'-x,-y,-z'
'-x,y,-z'
'x,-y,z'
'x+1/2,y+1/2,z'
'-x+1/2,-y+1/2,-z'
'-x+1/2,y+1/2,-z'
'x+1/2,-y+1/2,z'
loop_
_atom_site_label
_atom_site_type_symbol
_atom_site_fract_x
_atom_site_fract_y
_atom_site_fract_z
In1 In 0.000 0.167 0.000
Ag1 Ag 0.000 0.354 0.500
Sn1 Sn 0.000 0.500 0.000
S1 S 0.198 0.334 0.224
S2 S 0.219 0.000 0.216


Record 13
# PBE-GGA InAgSnS4, relaxed
# Crystal system: orthorhombic
data_InAgSnS4
_chemical_formula_sum 'In4 Ag4 Sn4 S16'
_cell_length_a 7.712
_cell_length_b 7.726
_cell_length_c 10.912
_cell_angle_alpha 90.00
_cell_angle_beta 90.00
_cell_angle_gamma 90.00
_space_group_name_H-M_alt 'I m m a'
_space_group_IT_number 74
_space_group_name_Hall '-I 2b 2'
loop_
_atom_site_label
_atom_site_type_symbol
_atom_site_fract_x
_atom_site_fract_y
_atom_site_fract_z
In1 In 0.000 0.000 0.000
Ag1 Ag 0.000 0.250 0.382
Sn1 Sn 0.250 0.250 0.750
S1 S 0.000 0.018 0.755
S2 S 0.232 0.250 0.986


Record 14
# PBE-GGA In3AgSn2S8, relaxed
# Crystal system: trigonal
data_In3AgSn2S8
_chemical_formula_sum 'In9 Ag3 Sn6 S24'
_cell_length_a 7.9816
_cell_length_b 7.9816
_cell_length_c 18.7440
_cell_angle_alpha 90.00
_cell_angle_beta 90.00
_cell_angle_gamma 120.00
_space_group_name_H-M_alt 'R 3 m'
_space_group_IT_number 160
_space_group_name_Hall 'R 3 -2"'
loop_
_atom_site_label
_atom_site_type_symbol
_atom_site_fract_x
_atom_site_fract_y
_atom_site_fract_z
In1 In 0.1711 0.3423 0.0000
Ag1 Ag 0.0000 0.0000 0.5438
Sn1 Sn 0.0000 0.0000 0.1716
Sn2 Sn 0.0000 0.0000 0.7857
S1 S 0.0000 0.0000 0.4079
S2 S 0.0000 0.0000 0.9275
S3 S 0.0245 0.5123 0.9196
S4 S 0.1881 0.3761 0.7491


Record 15
# PBE-GGA In4AgSnS8, relaxed
# Crystal system: trigonal
data_In4AgSnS8
_chemical_formula_sum 'In12 Ag3 Sn3 S24'
_cell_length_a 7.8375
_cell_length_b 7.8375
_cell_length_c 18.9502
_cell_angle_alpha 90.00
_cell_angle_beta 90.00
_cell_angle_gamma 120.00
_space_group_name_H-M_alt 'R 3 m'
_space_group_IT_number 160
_space_group_name_Hall 'R 3 -2"'
loop_
_atom_site_label
_atom_site_type_symbol
_atom_site_fract_x
_atom_site_fract_y
_atom_site_fract_z
In1 In 0.0000 0.0000 0.0000
In2 In 0.0128 0.5064 0.1242
Ag1 Ag 0.0000 0.0000 0.2473
Sn1 Sn 0.0000 0.0000 0.6173
S1 S 0.0000 0.0000 0.3814
S2 S 0.0000 0.0000 0.8633
S3 S 0.0229 0.5115 0.3764
S4 S 0.1762 0.3524 0.2032


Record 16
# PBE-GGA InAg2SnS4, relaxed
# Crystal system: orthorhombic
data_InAg2SnS4
_chemical_formula_sum 'In2 Ag4 Sn2 S8'
_cell_length_a 8.635
_cell_length_b 7.154
_cell_length_c 6.721
_cell_angle_alpha 90.00
_cell_angle_beta 90.00
_cell_angle_gamma 90.00
_space_group_name_H-M_alt 'P m n 21'
_space_group_IT_number 31
loop_
_space_group_symop_operation_xyz
'x,y,z'
'-x+1/2,-y,z+1/2'
'-x,y,z'
'x+1/2,-y,z+1/2'
loop_
_atom_site_label
_atom_site_type_symbol
_atom_site_fract_x
_atom_site_fract_y
_atom_site_fract_z
In1 In 0.000 0.166 0.000
Ag1 Ag 0.249 0.681 0.003
Sn1 Sn 0.000 0.822 0.489
S1 S 0.000 0.164 0.376
S2 S 0.000 0.837 0.873
S3 S 0.238 0.334 0.885


Record 17
# PBE-GGA Tb3InAg3S8, relaxed
# Crystal system: monoclinic
data_Tb3InAg3S8
_chemical_formula_sum 'Tb6 In2 Ag6 S16'
_cell_length_a 12.991
_cell_length_b 8.010
_cell_length_c 7.924
_cell_angle_alpha 90.00
_cell_angle_beta 124.22
_cell_angle_gamma 90.00
_space_group_name_H-M_alt 'C 1 2/m 1'
_space_group_IT_number 12
loop_
_space_group_symop_operation_xyz
'x,y,z'
'-x,-y,-z'
'-x,y,-z'
'x,-y,z'
'x+1/2,y+1/2,z'
'-x+1/2,-y+1/2,-z'
'-x+1/2,y+1/2,-z'
'x+1/2,-y+1/2,z'
loop_
_atom_site_label
_atom_site_type_symbol
_atom_site_fract_x
_atom_site_fract_y
_atom_site_fract_z
Tb1 Tb 0.000 0.000 0.000
Tb2 Tb 0.250 0.250 0.500
In1 In 0.000 0.500 0.000
Ag1 Ag 0.000 0.500 0.500
Ag2 Ag 0.250 0.250 0.000
S1 S 0.006 0.259 0.772
S2 S 0.244 0.500 0.249
S3 S 0.248 0.500 0.732


Record 18
# PBE-GGA TbInAg2S4, relaxed
# Crystal system: orthorhombic
data_TbInAg2S4
_chemical_formula_sum 'Tb4 In4 Ag8 S16'
_cell_length_a 7.689
_cell_length_b 8.140
_cell_length_c 10.878
_cell_angle_alpha 90.00
_cell_angle_beta 90.00
_cell_angle_gamma 90.00
_space_group_name_H-M_alt 'I m m a'
_space_group_IT_number 74
_space_group_name_Hall '-I 2b 2'
loop_
_atom_site_label
_atom_site_type_symbol
_atom_site_fract_x
_atom_site_fract_y
_atom_site_fract_z
Tb1 Tb 0.000 0.000 0.000
In1 In 0.250 0.250 0.250
Ag1 Ag 0.000 0.000 0.500
Ag2 Ag 0.250 0.250 0.750
S1 S 0.000 0.027 0.254
S2 S 0.243 0.250 0.992


Record 19
# PBE-GGA InAg2TeS4, relaxed
# Crystal system: monoclinic
data_InAg2TeS4
_chemical_formula_sum 'In4 Ag8 Te4 S16'
_cell_length_a 11.620
_cell_length_b 10.490
_cell_length_c 7.596
_cell_angle_alpha 90.00
_cell_angle_beta 130.37
_cell_angle_gamma 90.00
_space_group_name_H-M_alt 'C 1 2/c 1'
_space_group_IT_number 15
loop_
_space_group_symop_operation_xyz
'x,y,z'
'-x,-y,-z'
'-x,y,-z+1/2'
'x,-y,z+1/2'
'x+1/2,y+1/2,z'
'-x+1/2,-y+1/2,-z'
'-x+1/2,y+1/2,-z+1/2'
'x+1/2,-y+1/2,z+1/2'
loop_
_atom_site_label
_atom_site_type_symbol
_atom_site_fract_x
_atom_site_fract_y
_atom_site_fract_z
In1 In 0.000 0.000 0.000
Ag1 Ag 0.000 0.500 0.000
Ag2 Ag 0.250 0.250 0.000
Te1 Te 0.250 0.250 0.500
S1 S 0.047 0.266 0.556
S2 S 0.206 0.003 0.947


E_form (uncorrected) (computed, eV/atom): 0.2544; -0.1084; 0.0367; -0.0299; -0.3327; 0.8815; -0.2858; -0.4375; -0.7762; -1.2517; -0.3100; -0.3689; -0.4136; -0.4246; -0.4678; -0.2971; -1.0613; -0.7903; -0.1181